Record 1
VASP calculation (GGA-PBE) on an optimized crystal structure of AcPmP2Pd2.

Properties
Mass density in Mg/m³: 8.37
Crystal system: trigonal
Raw total energy in eV per atom: -6.2507
Formation energy from the elements in eV/atom: -1.240
Space-group type: P-3m1, No. 164

Cell: 4.296 4.296 8.029 Å, 90.00 90.00 120.00°
Fractional coordinates of all 6 atoms:
1 Ac 0.000 0.000 0.000
2 Pm 0.000 0.000 0.500
3 P 0.333 0.667 0.267
4 P 0.667 0.333 0.733
5 Pd 0.333 0.667 0.738
6 Pd 0.667 0.333 0.262


Record 2
VASP calculation (GGA-PBE) on an optimized crystal structure of PrHoTh2.

Properties
Mass density in Mg/m³: 7.88
Crystal system: monoclinic
Raw total energy in eV per atom: -5.4916
Formation energy from the elements in eV/atom: 0.558
Space-group type: C2/c, No. 15

Cell: 9.908 9.908 3.561 Å, 95.67 95.67 109.60°
Fractional coordinates of all 8 atoms:
1 Pr 0.000 0.500 0.000
2 Pr 0.500 0.000 0.500
3 Ho 0.201 0.799 0.750
4 Ho 0.799 0.201 0.250
5 Th 0.282 0.458 0.450
6 Th 0.458 0.282 0.950
7 Th 0.542 0.718 0.050
8 Th 0.718 0.542 0.550


Record 3
VASP calculation (GGA-PBE) on an optimized crystal structure of NdIn5Rh.

Properties
Mass density in Mg/m³: 8.13
Crystal system: tetragonal
Raw total energy in eV per atom: -4.1403
Formation energy from the elements in eV/atom: -0.453
Space-group type: P4/mmm, No. 123

Cell: 4.696 4.696 7.608 Å, 90.00 90.00 90.00°
Fractional coordinates of all 7 atoms:
1 Nd 0.000 0.000 0.000
2 In 0.000 0.500 0.304
3 In 0.000 0.500 0.696
4 In 0.500 0.000 0.304
5 In 0.500 0.000 0.696
6 In 0.500 0.500 0.000
7 Rh 0.000 0.000 0.500


Record 4
VASP calculation (GGA-PBE) on an optimized crystal structure of VTe4Mo.

Properties
Mass density in Mg/m³: 7.11
Crystal system: monoclinic
Raw total energy in eV per atom: -5.7056
Uncorrected formation energy in kJ/mol of atoms: -28
Space-group type: Cm, No. 8

Cell: 7.438 7.438 6.445 Å, 109.37 109.37 27.24°
Fractional coordinates of all 6 atoms:
1 V 0.000 0.000 0.000
2 Te 0.157 0.157 0.372
3 Te 0.359 0.359 0.989
4 Te 0.605 0.605 0.836
5 Te 0.906 0.906 0.540
6 Mo 0.514 0.514 0.371


Record 5
VASP calculation (GGA-PBE) on an optimized crystal structure of As2PtCl.

Properties
Mass density in Mg/m³: 6.88
Crystal system: monoclinic
Raw total energy in eV per atom: -4.3819
Uncorrected formation energy in kJ/mol of atoms: -8
Space-group type: C2, No. 5

Cell: 6.769 6.769 3.435 Å, 104.56 104.56 132.05°
Fractional coordinates of all 4 atoms:
1 As 0.000 0.000 0.000
2 As 0.618 0.382 0.500
3 Pt 0.149 0.851 0.500
4 Cl 0.308 0.692 0.000


Record 6
VASP calculation (GGA-PBE) on an optimized crystal structure of Ca6In5.

Properties
Mass density in Mg/m³: 3.99
Crystal system: orthorhombic
Raw total energy in eV per atom: -2.7478
Formation energy from the elements in eV/atom: -0.411
Space-group type: Immm, No. 71

Cell: 9.368 9.368 9.368 Å, 146.60 130.94 60.65°
Fractional coordinates of all 11 atoms:
1 Ca 0.084 0.339 0.745
2 Ca 0.245 0.000 0.245
3 Ca 0.406 0.661 0.745
4 Ca 0.594 0.339 0.255
5 Ca 0.755 0.000 0.755
6 Ca 0.916 0.661 0.255
7 In 0.173 0.173 0.000
8 In 0.329 0.829 0.500
9 In 0.500 0.500 0.000
10 In 0.671 0.171 0.500
11 In 0.827 0.827 0.000


Record 7
VASP calculation (GGA-PBE) on an optimized crystal structure of Pr8In3.

Properties
Mass density in Mg/m³: 6.01
Crystal system: trigonal
Raw total energy in eV per atom: -4.1878
Formation energy from the elements in eV/atom: 0.035
Space-group type: R-3, No. 148

Cell: 7.409 7.409 7.409 Å, 89.40 89.40 89.40°
Fractional coordinates of all 11 atoms:
1 Pr 0.138 0.138 0.138
2 Pr 0.183 0.623 0.358
3 Pr 0.358 0.183 0.623
4 Pr 0.377 0.642 0.817
5 Pr 0.623 0.358 0.183
6 Pr 0.642 0.817 0.377
7 Pr 0.817 0.377 0.642
8 Pr 0.862 0.862 0.862
9 In 0.000 0.000 0.500
10 In 0.000 0.500 0.000
11 In 0.500 0.000 0.000


Record 8
VASP calculation (GGA-PBE) on an optimized crystal structure of NdSb12Ru4.

Properties
Mass density in Mg/m³: 8.08
Crystal system: cubic
Raw total energy in eV per atom: -5.6981
Uncorrected formation energy in kJ/mol of atoms: -31
Space-group type: Im-3, No. 204

Cell: 8.126 8.126 8.126 Å, 109.47 109.47 109.47°
Fractional coordinates of all 17 atoms:
1 Nd 0.000 0.000 0.000
2 Sb 0.158 0.498 0.340
3 Sb 0.158 0.818 0.660
4 Sb 0.182 0.340 0.842
5 Sb 0.340 0.158 0.498
6 Sb 0.340 0.842 0.182
7 Sb 0.498 0.340 0.158
8 Sb 0.502 0.660 0.842
9 Sb 0.660 0.158 0.818
10 Sb 0.660 0.842 0.502
11 Sb 0.818 0.660 0.158
12 Sb 0.842 0.182 0.340
13 Sb 0.842 0.502 0.660
14 Ru 0.000 0.000 0.500
15 Ru 0.000 0.500 0.000
16 Ru 0.500 0.000 0.000
17 Ru 0.500 0.500 0.500


Record 9
VASP calculation (GGA-PBE) on an optimized crystal structure of LiLa2W.

Properties
Mass density in Mg/m³: 7.01
Crystal system: orthorhombic
Raw total energy in eV per atom: -5.7668
Formation energy from the elements in eV/atom: 0.414
Space-group type: Pmmm, No. 47

Cell: 3.536 3.548 8.842 Å, 90.00 90.00 90.00°
Fractional coordinates of all 4 atoms:
1 Li 0.000 0.000 0.000
2 La 0.500 0.500 0.293
3 La 0.500 0.500 0.707
4 W 0.000 0.000 0.500


Record 10
VASP calculation (GGA-PBE) on an optimized crystal structure of CrWCl2.

Properties
Mass density in Mg/m³: 6.12
Crystal system: monoclinic
Raw total energy in eV per atom: -6.6565
Uncorrected formation energy in kJ/mol of atoms: -9
Space-group type: Pm, No. 6

Cell: 3.457 3.072 8.019 Å, 90.00 102.25 90.00°
Fractional coordinates of all 4 atoms:
1 Cr 0.000 0.000 0.000
2 W 0.422 0.500 0.842
3 Cl 0.304 0.000 0.601
4 Cl 0.583 0.500 0.167


Record 11
VASP calculation (GGA-PBE) on an optimized crystal structure of Sr2YNi.

Properties
Mass density in Mg/m³: 4.42
Crystal system: cubic
Raw total energy in eV per atom: -3.4498
Formation energy from the elements in eV/atom: 0.452
Space-group type: F-43m, No. 216

Cell: 5.554 5.554 5.554 Å, 60.00 60.00 60.00°
Fractional coordinates of all 4 atoms:
1 Sr 0.000 0.000 0.000
2 Sr 0.250 0.250 0.250
3 Y 0.500 0.500 0.500
4 Ni 0.750 0.750 0.750


Record 12
VASP calculation (GGA-PBE) on an optimized crystal structure of K3Pu3BeS8.

Properties
Mass density in Mg/m³: 4.64
Crystal system: trigonal
Raw total energy in eV per atom: -6.8254
Uncorrected formation energy in kJ/mol of atoms: -124
Space-group type: R-3m, No. 166

Cell: 8.724 8.724 8.724 Å, 53.59 53.59 53.59°
Fractional coordinates of all 15 atoms:
1 K 0.000 0.500 0.500
2 K 0.500 0.000 0.500
3 K 0.500 0.500 0.000
4 Pu 0.000 0.000 0.500
5 Pu 0.000 0.500 0.000
6 Pu 0.500 0.000 0.000
7 Be 0.500 0.500 0.500
8 S 0.234 0.234 0.234
9 S 0.250 0.715 0.715
10 S 0.285 0.285 0.750
11 S 0.285 0.750 0.285
12 S 0.715 0.250 0.715
13 S 0.715 0.715 0.250
14 S 0.750 0.285 0.285
15 S 0.766 0.766 0.766